VASP calculation (PBE) on crystalline LiCe4Ta3N8 at its relaxed geometry.

Total magnetization   0.00 μB per cell
Raw formation energy   -1.285 eV/atom

The structure in extended XYZ format:
```
16
Lattice="6.524 0.000 0.000 0.000 6.724 0.139 -3.262 -3.260 4.614" Properties=species:S:1:pos:R:3 pbc="T T T"
Li 0.000 3.362 0.069
Ce 3.262 0.000 0.000
Ce 1.631 -1.630 2.307
Ce 0.000 0.000 0.000
Ce -1.631 -1.630 2.307
Ta 3.262 3.362 0.069
Ta 1.631 1.732 2.377
Ta -1.631 1.732 2.377
N -1.551 1.629 4.553
N 0.000 3.179 2.358
N 0.000 0.236 2.472
N 1.551 1.629 4.553
N 1.710 1.836 0.200
N 3.262 3.229 2.281
N 3.262 0.285 2.395
N 4.813 1.836 0.200
```